Compound: NaTaTiAl2
Source: Alexandria via LeMat-Bulk
Functional: GGA-PBE
Structure: relaxed

Summary:
magnetic moment	0.00	μB/f.u.
energy relative to the elements	7.9	eV per formula unit
space group	P4/mmm (123)

a b c (Å): 4.5538 4.8468 4.5538
angles (deg): 90.00 90.00 90.00
Fractional positions:
Na  0.0000  0.0000  0.0000
Ti  0.5000  0.5000  0.5000
Al  0.0000  0.0000  0.5000
Al  0.5000  0.0000  0.0000
Ta  0.0000  0.5000  0.0000